[1]
K2MgZnAg: relaxed, PBE-GGA.

a = 6.442 Å, b = 5.005 Å, c = 6.442 Å
α = 90.00°, β = 90.00°, γ = 90.00°
Fractional positions:
1 K 0.000 0.000 0.500
2 K 0.500 0.000 0.000
3 Ag 0.000 0.000 0.000
4 Mg 0.500 0.500 0.500
5 Zn 0.000 0.500 0.000

## Properties
- Calculated volume: 207.7 Å³ per cell
- Energy of formation from the pure elements: 264.9 meV per atom
- Density of states at the Fermi level: 0.919 states/eV/atom


[2]
KMn3Ag: relaxed, PBE-GGA.

a = 4.802 Å, b = 4.802 Å, c = 4.802 Å
α = 90.00°, β = 90.00°, γ = 90.00°
Fractional positions:
1 K 0.000 0.000 0.000
2 Mn 0.500 0.000 0.000
3 Mn 0.000 0.500 0.000
4 Mn 0.000 0.000 0.500
5 Ag 0.500 0.500 0.500

## Properties
- Calculated volume: 110.7 Å³ per cell
- Energy of formation from the pure elements: 2145.9 meV per atom
- Density of states at the Fermi level: 0.748 states/eV/atom
- ΔE to the lowest computed polymorph: 1113 meV/atom


[3]
KMnAg2: relaxed, PBE-GGA.

a = 5.107 Å, b = 5.107 Å, c = 6.700 Å
α = 83.26°, β = 83.26°, γ = 35.24°
Fractional positions:
1 Mn 0.272 0.272 0.142
2 Ag 0.002 0.002 0.024
3 Ag 0.732 0.732 0.821
4 K 0.495 0.495 0.512

## Properties
- Calculated volume: 100.1 Å³ per cell
- Energy of formation from the pure elements: 422.9 meV per atom
- Density of states at the Fermi level: 0.658 states/eV/atom
- ΔE to the lowest computed polymorph: 120 meV/atom


[4]
KMnAg2: relaxed, PBE-GGA.

a = 3.362 Å, b = 3.362 Å, c = 8.163 Å
α = 90.00°, β = 90.00°, γ = 89.93°
Fractional positions:
1 K 0.500 0.500 0.250
2 Mn 0.500 0.500 0.750
3 Ag 0.000 0.000 0.571
4 Ag 0.000 0.000 0.929

## Properties
- Calculated volume: 92.3 Å³ per cell
- Energy of formation from the pure elements: 303.2 meV per atom
- Density of states at the Fermi level: 0.689 states/eV/atom
- ΔE to the lowest computed polymorph: 0 meV/atom


[5]
KMn4Ag: relaxed, PBE-GGA.

a = 5.519 Å, b = 5.519 Å, c = 5.519 Å
α = 60.00°, β = 60.00°, γ = 60.00°
Fractional positions:
1 Mn 0.378 0.867 0.378
2 Ag 0.750 0.750 0.750
3 K 0.000 0.000 0.000
4 Mn 0.378 0.378 0.378
5 Mn 0.378 0.378 0.867
6 Mn 0.867 0.378 0.378

## Properties
- Calculated volume: 118.9 Å³ per cell
- Energy of formation from the pure elements: 851.4 meV per atom
- Density of states at the Fermi level: 0.968 states/eV/atom


[6]
KMnAg2: relaxed, PBE-GGA.

a = 5.404 Å, b = 5.404 Å, c = 9.910 Å
α = 74.18°, β = 74.18°, γ = 90.00°
Fractional positions:
1 K 0.250 0.750 0.500
2 Ag 0.375 0.124 0.750
3 Ag 0.876 0.125 0.250
4 Mn 0.000 0.000 0.000
5 Ag 0.875 0.126 0.750
6 Ag 0.874 0.625 0.250
7 Mn 0.750 0.250 0.500
8 K 0.500 0.500 0.000

## Properties
- Calculated volume: 267.0 Å³ per cell
- Energy of formation from the pure elements: 528.1 meV per atom
- Density of states at the Fermi level: 0.734 states/eV/atom
- ΔE to the lowest computed polymorph: 225 meV/atom


> calculated volume of number 1 (K2MgZnAg)?

207.7 Å³ per cell


What did the second record say?
KMn3Ag: relaxed, PBE-GGA.

a = 4.802 Å, b = 4.802 Å, c = 4.802 Å
α = 90.00°, β = 90.00°, γ = 90.00°
Fractional positions:
1 K 0.000 0.000 0.000
2 Mn 0.500 0.000 0.000
3 Mn 0.000 0.500 0.000
4 Mn 0.000 0.000 0.500
5 Ag 0.500 0.500 0.500

## Properties
- Calculated volume: 110.7 Å³ per cell
- Energy of formation from the pure elements: 2145.9 meV per atom
- Density of states at the Fermi level: 0.748 states/eV/atom
- ΔE to the lowest computed polymorph: 1113 meV/atom